First-principles (GGA-PBEsol) data for a geometry-optimized Li2BiIr structure, as listed in the Alexandria database.

Results
Its crystal system is tetragonal. The formation energy comes out at 104 meV/atom. As for the space-group type: I-42d (122). The density is 9.386 g/cm³.

abc: 9.9309 9.9309 9.9309
angles: 157.21 157.21 32.45
Atoms (fractional coordinates):
1 Li 0.0902 0.6250 0.9652
2 Li 0.3750 0.3402 0.4652
3 Li 0.6598 0.1250 0.0348
4 Li 0.8750 0.9098 0.5348
5 Bi 0.2500 0.7500 0.5000
6 Bi 0.5000 0.5000 0.0000
7 Ir 0.0000 0.0000 0.0000
8 Ir 0.7500 0.2500 0.5000